A relaxed structure of KAlPbO2. Source: Alexandria, functional PBE.

Structure (POSCAR):
```
KAlPbO2
1.0
4.6401 0.0000 0.0000
0.0000 4.6401 0.0000
0.0000 0.0000 5.7693
K Al Pb O
1 1 1 2
direct
0.0000 0.0000 0.0000
0.5000 0.5000 0.5000
0.0000 0.0000 0.5000
0.0000 0.5000 0.0000
0.5000 0.0000 0.0000
```

Output
E_form (uncorrected) in eV/atom: 0.8274
Crystal system: tetragonal
N(E_F) in states/eV per atom: 2.054
E_tot in eV per atom: -2.866

A relaxed structure of TbErCuSi. Source: Alexandria, functional PBE.

Structure (POSCAR):
```
TbErCuSi
1.0
4.0683 0.0000 0.0000
0.0000 2.0220 5.3419
0.0000 -2.0220 5.3419
Tb Er Cu Si
1 1 1 1
direct
0.0000 0.0000 0.0000
0.5000 0.7199 0.7199
0.5000 0.4239 0.4239
0.0000 0.2854 0.2854
```

Output
Offset from the most stable computed form in meV/atom: 0
E_form (uncorrected) in eV/atom: -0.5349
Crystal system: orthorhombic
N(E_F) in states/eV per atom: 0.776
E_tot in eV per atom: -5.213